Record 1
Below is an optimized crystal structure of Mg2InGa6, with properties calculated at the PBE level.

Properties
Total magnetization: 0.0 μB per formula unit
N(E_F): 0.457 states/eV/atom
SG: P6/mmm (191)
E_tot: -24.33 eV per formula unit

a = 7.996 Å, b = 7.996 Å, c = 3.269 Å
α = 90.00°, β = 90.00°, γ = 120.00°
Positions (direct):
Mg 0.333 0.667 0.000
Mg 0.667 0.333 0.000
In 0.000 0.000 0.000
Ga 0.000 0.337 0.500
Ga 0.000 0.663 0.500
Ga 0.337 0.000 0.500
Ga 0.337 0.337 0.500
Ga 0.663 0.000 0.500
Ga 0.663 0.663 0.500

=====

Record 2
Below is an optimized crystal structure of Mg7In2Ga2, with properties calculated at the PBE level.

Properties
Total magnetization: 0.0 μB per formula unit
N(E_F): 0.373 states/eV/atom
SG: Cmmm (65)
E_tot: -22.59 eV per formula unit

a = 6.292 Å, b = 6.292 Å, c = 7.051 Å
α = 90.00°, β = 90.00°, γ = 104.46°
Positions (direct):
Mg 0.000 0.000 0.000
Mg 0.000 0.500 0.273
Mg 0.000 0.500 0.727
Mg 0.500 0.000 0.273
Mg 0.500 0.000 0.727
Mg 0.500 0.500 0.238
Mg 0.500 0.500 0.762
In 0.187 0.187 0.500
In 0.813 0.813 0.500
Ga 0.278 0.722 0.000
Ga 0.722 0.278 0.000

=====

Record 3
Below is an optimized crystal structure of MgIn4Ga, with properties calculated at the PBE level.

Properties
Total magnetization: 0.0 μB per formula unit
N(E_F): 0.177 states/eV/atom
SG: P2_1/c (14)
E_tot: -15.70 eV per formula unit

a = 5.638 Å, b = 9.883 Å, c = 5.608 Å
α = 90.00°, β = 109.33°, γ = 90.00°
Positions (direct):
Mg 0.000 0.000 0.000
Mg 0.000 0.500 0.500
In 0.001 0.162 0.500
In 0.001 0.338 0.000
In 0.499 0.663 0.499
In 0.499 0.837 0.999
In 0.501 0.163 0.001
In 0.501 0.337 0.501
In 0.999 0.662 0.000
In 0.999 0.838 0.500
Ga 0.500 0.000 0.500
Ga 0.500 0.500 0.000

=====

Record 4
Below is an optimized crystal structure of Mg5In2Ga2, with properties calculated at the PBE level.

Properties
Total magnetization: 0.0 μB per formula unit
N(E_F): 0.439 states/eV/atom
SG: Cmce (64)
E_tot: -20.19 eV per formula unit

a = 9.339 Å, b = 9.339 Å, c = 6.783 Å
α = 90.00°, β = 90.00°, γ = 43.11°
Positions (direct):
Mg 0.000 0.000 0.000
Mg 0.055 0.703 0.675
Mg 0.203 0.555 0.175
Mg 0.297 0.945 0.675
Mg 0.445 0.797 0.175
Mg 0.500 0.500 0.500
Mg 0.555 0.203 0.825
Mg 0.703 0.055 0.325
Mg 0.797 0.445 0.825
Mg 0.945 0.297 0.325
In 0.232 0.232 0.000
In 0.268 0.268 0.500
In 0.732 0.732 0.500
In 0.768 0.768 0.000
Ga 0.133 0.867 0.369
Ga 0.367 0.633 0.869
Ga 0.633 0.367 0.131
Ga 0.867 0.133 0.631

=====

Record 5
Below is an optimized crystal structure of MgInGa, with properties calculated at the PBE level.

Properties
Total magnetization: 0.0 μB per formula unit
N(E_F): 0.380 states/eV/atom
SG: Cm (8)
E_tot: -7.42 eV per formula unit

a = 5.626 Å, b = 5.626 Å, c = 6.651 Å
α = 126.06°, β = 126.06°, γ = 63.21°
Positions (direct):
Mg 0.000 0.000 0.000
Mg 0.135 0.135 0.636
In 0.461 0.461 0.658
In 0.676 0.676 0.373
Ga 0.069 0.568 0.139
Ga 0.568 0.069 0.139

=====

Record 6
Below is an optimized crystal structure of MgInGa, with properties calculated at the PBE level.

Properties
Total magnetization: 0.0 μB per formula unit
N(E_F): 0.335 states/eV/atom
SG: P1 (1)
E_tot: -7.53 eV per formula unit

a = 4.542 Å, b = 5.560 Å, c = 6.218 Å
α = 68.30°, β = 89.93°, γ = 65.91°
Positions (direct):
Mg 0.000 0.000 0.000
Mg 0.300 0.396 0.609
In 0.337 0.324 0.137
In 0.644 0.710 0.781
Ga 0.664 0.669 0.296
Ga 0.974 0.051 0.489

=====

Record 7
Below is an optimized crystal structure of MgIn3Ga, with properties calculated at the PBE level.

Properties
Total magnetization: 0.0 μB per formula unit
N(E_F): 0.954 states/eV/atom
SG: Pm-3m (221)
E_tot: -10.66 eV per formula unit

a = 5.451 Å, b = 5.451 Å, c = 5.451 Å
α = 90.00°, β = 90.00°, γ = 90.00°
Positions (direct):
Mg 0.000 0.000 0.000
In 0.000 0.000 0.500
In 0.000 0.500 0.000
In 0.500 0.000 0.000
Ga 0.500 0.500 0.500

=====

Record 8
Below is an optimized crystal structure of MgIn3Ga, with properties calculated at the PBE level.

Properties
Total magnetization: 0.0 μB per formula unit
N(E_F): 0.394 states/eV/atom
SG: Pnma (62)
E_tot: -12.75 eV per formula unit

a = 9.193 Å, b = 10.124 Å, c = 5.455 Å
α = 90.00°, β = 90.00°, γ = 90.00°
Positions (direct):
Mg 0.000 0.000 0.000
Mg 0.000 0.500 0.000
Mg 0.500 0.000 0.500
Mg 0.500 0.500 0.500
In 0.097 0.250 0.289
In 0.167 0.569 0.502
In 0.167 0.931 0.502
In 0.333 0.069 0.002
In 0.333 0.431 0.002
In 0.403 0.750 0.789
In 0.597 0.250 0.211
In 0.667 0.569 0.998
In 0.667 0.931 0.998
In 0.833 0.069 0.498
In 0.833 0.431 0.498
In 0.903 0.750 0.711
Ga 0.147 0.750 0.074
Ga 0.353 0.250 0.574
Ga 0.647 0.750 0.426
Ga 0.853 0.250 0.926

=====

Record 9
Below is an optimized crystal structure of MgInGa2, with properties calculated at the PBE level.

Properties
Total magnetization: 0.0 μB per formula unit
N(E_F): 0.266 states/eV/atom
SG: P4/mmm (123)
E_tot: -10.49 eV per formula unit

a = 3.431 Å, b = 3.431 Å, c = 7.300 Å
α = 90.00°, β = 90.00°, γ = 90.00°
Positions (direct):
Mg 0.000 0.000 0.000
In 0.000 0.000 0.500
Ga 0.500 0.500 0.232
Ga 0.500 0.500 0.768

=====

Record 10
Below is an optimized crystal structure of MgInGa, with properties calculated at the PBE level.

Properties
Total magnetization: 0.0 μB per formula unit
N(E_F): 0.563 states/eV/atom
SG: I4mm (107)
E_tot: -7.45 eV per formula unit

a = 6.391 Å, b = 6.391 Å, c = 6.391 Å
α = 149.68°, β = 149.68°, γ = 43.41°
Positions (direct):
Mg 0.000 0.000 0.000
In 0.317 0.317 0.000
Ga 0.648 0.648 0.000

=====

Record 11
Below is an optimized crystal structure of MgInGa, with properties calculated at the PBE level.

Properties
Total magnetization: 0.0 μB per formula unit
N(E_F): 0.374 states/eV/atom
SG: P1 (1)
E_tot: -7.34 eV per formula unit

a = 5.452 Å, b = 5.453 Å, c = 5.457 Å
α = 73.08°, β = 73.01°, γ = 62.08°
Positions (direct):
Mg 0.000 0.000 0.000
Mg 0.339 0.339 0.051
In 0.081 0.584 0.560
In 0.756 0.259 0.491
Ga 0.442 0.899 0.526
Ga 0.620 0.719 0.026

=====

Record 12
Below is an optimized crystal structure of MgInGa2, with properties calculated at the PBE level.

Properties
Total magnetization: 0.0 μB per formula unit
N(E_F): 0.310 states/eV/atom
SG: P4/mmm (123)
E_tot: -10.60 eV per formula unit

a = 4.458 Å, b = 4.458 Å, c = 4.210 Å
α = 90.00°, β = 90.00°, γ = 90.00°
Positions (direct):
Mg 0.000 0.000 0.000
In 0.500 0.500 0.000
Ga 0.000 0.500 0.500
Ga 0.500 0.000 0.500

=====

Repeat the third record exactly.
Below is an optimized crystal structure of MgIn4Ga, with properties calculated at the PBE level.

Properties
Total magnetization: 0.0 μB per formula unit
N(E_F): 0.177 states/eV/atom
SG: P2_1/c (14)
E_tot: -15.70 eV per formula unit

a = 5.638 Å, b = 9.883 Å, c = 5.608 Å
α = 90.00°, β = 109.33°, γ = 90.00°
Positions (direct):
Mg 0.000 0.000 0.000
Mg 0.000 0.500 0.500
In 0.001 0.162 0.500
In 0.001 0.338 0.000
In 0.499 0.663 0.499
In 0.499 0.837 0.999
In 0.501 0.163 0.001
In 0.501 0.337 0.501
In 0.999 0.662 0.000
In 0.999 0.838 0.500
Ga 0.500 0.000 0.500
Ga 0.500 0.500 0.000